w:
Material: TaCdRe3
Method: DFT, PBE
State: relaxed

Spin magnetization   0.00 μB per cell
Space group   Pm-3m
DOS(E_F)   1.66 states/eV/atom

a b c (Å): 4.711 4.711 4.711
angles (deg): 90.00 90.00 90.00
Fractional positions:
Re 0.000 0.500 0.000
Re 0.000 0.000 0.500
Re 0.500 0.000 0.000
Cd 0.000 0.000 0.000
Ta 0.500 0.500 0.500



x:
Material: TaCdRe3
Method: DFT, PBE
State: relaxed

Spin magnetization   2.41 μB per cell
Space group   Pm-3m
DOS(E_F)   1.24 states/eV/atom

a b c (Å): 4.807 4.807 4.807
angles (deg): 90.00 90.00 90.00
Each line ends with the local moment (μB).
Fractional positions:
Re 0.000 0.500 0.000  0.75
Re 0.000 0.000 0.500  0.71
Re 0.500 0.000 0.000  0.78
Cd 0.500 0.500 0.500  -0.02
Ta 0.000 0.000 0.000  -0.07



Of them, w has the lowest stability.



w:
Material: TaCd2Re
Method: DFT, PBE
State: relaxed

Spin magnetization   0.00 μB per cell
Space group   Cm
DOS(E_F)   0.42 states/eV/atom

a b c (Å): 5.044 5.044 5.443
angles (deg): 84.69 84.69 31.99
Fractional positions:
Re 0.498 0.498 0.473
Cd 0.000 0.000 0.986
Cd 0.754 0.754 0.763
Ta 0.249 0.249 0.278



x:
Material: TaCd2Re
Method: DFT, PBE
State: relaxed

Spin magnetization   0.00 μB per cell
Space group   R-3m
DOS(E_F)   0.84 states/eV/atom

a b c (Å): 10.199 10.199 10.199
angles (deg): 16.28 16.28 16.28
Fractional positions:
Re 0.250 0.250 0.250
Cd 0.997 0.997 0.997
Cd 0.503 0.503 0.503
Ta 0.750 0.750 0.750



y:
Material: TaCd2Re
Method: DFT, PBE
State: relaxed

Spin magnetization   0.00 μB per cell
Space group   F-43m
DOS(E_F)   0.57 states/eV/atom

a b c (Å): 4.685 4.685 4.685
angles (deg): 60.00 60.00 60.00
Fractional positions:
Re 0.500 0.500 0.500
Cd 0.000 0.000 0.000
Cd 0.250 0.250 0.250
Ta 0.750 0.750 0.750



Of them, x has the lowest stability.



w:
Material: TaCd2Re
Method: DFT, PBE
State: relaxed

Spin magnetization   0.00 μB per cell
Space group   Cmm2
DOS(E_F)   0.48 states/eV/atom

a b c (Å): 2.897 2.897 9.796
angles (deg): 90.00 90.00 112.44
Fractional positions:
Re 0.000 0.000 0.519
Cd 0.000 0.000 0.987
Cd 0.500 0.500 0.268
Ta 0.500 0.500 0.726



x:
Material: TaCd2Re
Method: DFT, PBE
State: relaxed

Spin magnetization   0.00 μB per cell
Space group   C2/m
DOS(E_F)   0.66 states/eV/atom

a b c (Å): 5.635 5.635 2.794
angles (deg): 81.48 81.48 120.95
Fractional positions:
Re 0.500 0.000 0.500
Cd 0.000 0.000 0.000
Cd 0.500 0.500 0.000
Ta 0.000 0.500 0.500



Of them, x has the lowest stability.



w:
Material: TaCd2Re
Method: DFT, PBE
State: relaxed

Spin magnetization   0.00 μB per cell
Space group   Pmmm
DOS(E_F)   0.42 states/eV/atom

a b c (Å): 2.786 4.670 5.567
angles (deg): 90.00 90.00 90.00
Fractional positions:
Re 0.500 0.500 0.250
Cd 0.000 0.000 0.003
Cd 0.000 0.000 0.497
Ta 0.500 0.500 0.750



x:
Material: TaCd2Re
Method: DFT, PBE
State: relaxed

Spin magnetization   0.00 μB per cell
Space group   P2/m
DOS(E_F)   0.59 states/eV/atom

a b c (Å): 4.858 2.788 5.509
angles (deg): 76.31 90.00 90.00
Fractional positions:
Re 0.500 0.250 0.250
Cd 0.000 0.054 0.006
Cd 0.000 0.446 0.494
Ta 0.500 0.750 0.750



y:
Material: TaCd2Re
Method: DFT, PBE
State: relaxed

Spin magnetization   0.00 μB per cell
Space group   P4/mmm
DOS(E_F)   0.66 states/eV/atom

a b c (Å): 3.595 3.595 5.638
angles (deg): 90.00 90.00 90.00
Fractional positions:
Re 0.500 0.500 0.250
Cd 0.000 0.000 0.006
Cd 0.000 0.000 0.494
Ta 0.500 0.500 0.750



z:
Material: TaCd2Re
Method: DFT, PBE
State: relaxed

Spin magnetization   0.00 μB per cell
Space group   P4/mmm
DOS(E_F)   0.93 states/eV/atom

a b c (Å): 2.794 2.794 9.315
angles (deg): 90.00 90.00 90.00
Fractional positions:
Re 0.500 0.500 0.250
Cd 0.000 0.000 0.006
Cd 0.000 0.000 0.494
Ta 0.500 0.500 0.750



Of them, y has the lowest stability.



w:
Material: TaCd2Re
Method: DFT, PBE
State: relaxed

Spin magnetization   0.00 μB per cell
Space group   I-4m2
DOS(E_F)   0.80 states/eV/atom

a b c (Å): 4.955 4.955 4.955
angles (deg): 128.72 128.72 75.45
Fractional positions:
Re 0.500 0.500 0.000
Cd 0.000 0.000 0.000
Cd 0.250 0.750 0.500
Ta 0.750 0.250 0.500



x:
Material: TaCd2Re
Method: DFT, PBE
State: relaxed

Spin magnetization   0.00 μB per cell
Space group   Pm
DOS(E_F)   0.59 states/eV/atom

a b c (Å): 4.235 2.868 6.615
angles (deg): 68.37 90.00 90.00
Fractional positions:
Re 0.000 0.539 0.525
Cd 0.000 0.988 0.003
Cd 0.500 0.272 0.252
Ta 0.500 0.702 0.721



y:
Material: TaCd2Re
Method: DFT, PBE
State: relaxed

Spin magnetization   0.00 μB per cell
Space group   P4mm
DOS(E_F)   0.34 states/eV/atom

a b c (Å): 3.320 3.320 6.944
angles (deg): 90.00 90.00 90.00
Fractional positions:
Re 0.000 0.000 0.536
Cd 0.000 0.000 0.994
Cd 0.500 0.500 0.262
Ta 0.500 0.500 0.708



z:
Material: TaCd2Re
Method: DFT, PBE
State: relaxed

Spin magnetization   0.00 μB per cell
Space group   C2/m
DOS(E_F)   0.53 states/eV/atom

a b c (Å): 5.551 5.551 4.384
angles (deg): 67.19 67.19 35.95
Fractional positions:
Re 0.750 0.750 0.750
Cd 0.006 0.006 0.994
Cd 0.494 0.494 0.506
Ta 0.250 0.250 0.250



Of them, w has the lowest stability.



w:
Material: Ta3CdRe
Method: DFT, PBE
State: relaxed

Spin magnetization   0.00 μB per cell
Space group   Pm-3m
DOS(E_F)   2.19 states/eV/atom

a b c (Å): 4.844 4.844 4.844
angles (deg): 90.00 90.00 90.00
Fractional positions:
Re 0.500 0.500 0.500
Cd 0.000 0.000 0.000
Ta 0.000 0.500 0.000
Ta 0.000 0.000 0.500
Ta 0.500 0.000 0.000



x:
Material: Ta3CdRe
Method: DFT, PBE
State: relaxed

Spin magnetization   0.00 μB per cell
Space group   Pm-3m
DOS(E_F)   0.79 states/eV/atom

a b c (Å): 4.871 4.871 4.871
angles (deg): 90.00 90.00 90.00
Fractional positions:
Re 0.000 0.000 0.000
Cd 0.500 0.500 0.500
Ta 0.000 0.500 0.000
Ta 0.000 0.000 0.500
Ta 0.500 0.000 0.000



Of them, w has the lowest stability.



w:
Material: Ta2CdRe2
Method: DFT, PBE
State: relaxed

Spin magnetization   0.00 μB per cell
Space group   I4/mmm
DOS(E_F)   0.96 states/eV/atom

a b c (Å): 4.076 4.076 6.878
angles (deg): 72.76 72.76 90.00
Fractional positions:
Re 0.750 0.250 0.500
Re 0.250 0.750 0.500
Cd 0.000 0.000 0.000
Ta 0.378 0.378 0.244
Ta 0.622 0.622 0.756



x:
Material: Ta2CdRe2
Method: DFT, PBE
State: relaxed

Spin magnetization   0.00 μB per cell
Space group   P4/mbm
DOS(E_F)   0.88 states/eV/atom

a b c (Å): 7.727 7.727 3.059
angles (deg): 90.00 90.00 90.00
Fractional positions:
Re 0.356 0.856 0.000
Re 0.856 0.644 0.000
Re 0.644 0.144 0.000
Re 0.144 0.356 0.000
Cd 0.000 0.000 0.000
Cd 0.500 0.500 0.000
Ta 0.150 0.650 0.500
Ta 0.650 0.850 0.500
Ta 0.850 0.350 0.500
Ta 0.350 0.150 0.500



Of them, w has the lowest stability.



w:
Material: Cd3ReTc
Method: DFT, PBE
State: relaxed

Spin magnetization   5.97 μB per cell
Space group   Pm-3m
DOS(E_F)   1.22 states/eV/atom

a b c (Å): 5.172 5.172 5.172
angles (deg): 90.00 90.00 90.00
Each line ends with the local moment (μB).
Fractional positions:
Re 0.500 0.500 0.500  3.65
Tc 0.000 0.000 0.000  1.58
Cd 0.000 0.500 0.000  -0.02
Cd 0.000 0.000 0.500  0.01
Cd 0.500 0.000 0.000  -0.01



x:
Material: Cd3ReTc
Method: DFT, PBE
State: relaxed

Spin magnetization   4.31 μB per cell
Space group   Pm-3m
DOS(E_F)   0.87 states/eV/atom

a b c (Å): 5.156 5.156 5.156
angles (deg): 90.00 90.00 90.00
Each line ends with the local moment (μB).
Fractional positions:
Re 0.000 0.000 0.000  0.49
Tc 0.500 0.500 0.500  3.48
Cd 0.000 0.500 0.000  -0.02
Cd 0.000 0.000 0.500  -0.01
Cd 0.500 0.000 0.000  -0.01



Of them, w has the lowest stability.



w:
Material: Cd2Re2Te
Method: DFT, PBE
State: relaxed

Spin magnetization   0.00 μB per cell
Space group   P4/mbm
DOS(E_F)   0.74 states/eV/atom

a b c (Å): 8.341 8.341 2.945
angles (deg): 90.00 90.00 90.00
Fractional positions:
Re 0.401 0.901 0.000
Re 0.901 0.599 0.000
Re 0.599 0.099 0.000
Re 0.099 0.401 0.000
Te 0.000 0.000 0.000
Te 0.500 0.500 0.000
Cd 0.190 0.690 0.500
Cd 0.690 0.810 0.500
Cd 0.810 0.310 0.500
Cd 0.310 0.190 0.500



x:
Material: Cd2Re2Te
Method: DFT, PBE
State: relaxed

Spin magnetization   0.00 μB per cell
Space group   I4/mmm
DOS(E_F)   0.45 states/eV/atom

a b c (Å): 3.957 3.957 7.197
angles (deg): 74.04 74.04 90.00
Fractional positions:
Re 0.413 0.413 0.174
Re 0.587 0.587 0.826
Te 0.000 0.000 0.000
Cd 0.750 0.250 0.500
Cd 0.250 0.750 0.500



Of them, x has the lowest stability.



w:
Material: Th2CdRe
Method: DFT, PBE
State: relaxed

Spin magnetization   0.00 μB per cell
Space group   R-3m
DOS(E_F)   1.77 states/eV/atom

a b c (Å): 3.318 3.318 11.208
angles (deg): 81.49 81.49 60.00
Fractional positions:
Re 0.000 0.000 0.000
Th 0.079 0.079 0.764
Th 0.921 0.921 0.236
Cd 0.500 0.500 0.500



x:
Material: Th2CdRe
Method: DFT, PBE
State: relaxed

Spin magnetization   0.00 μB per cell
Space group   P4/mmm
DOS(E_F)   0.94 states/eV/atom

a b c (Å): 3.470 3.470 8.691
angles (deg): 90.00 90.00 90.00
Fractional positions:
Re 0.500 0.500 0.000
Th 0.000 0.000 0.792
Th 0.000 0.000 0.208
Cd 0.500 0.500 0.500



Of them, w has the lowest stability.



w:
Material: TiCd2Re
Method: DFT, PBE
State: relaxed

Spin magnetization   0.00 μB per cell
Space group   Fm-3m
DOS(E_F)   0.87 states/eV/atom

a b c (Å): 4.644 4.644 4.644
angles (deg): 60.00 60.00 60.00
Fractional positions:
Re 0.500 0.500 0.500
Ti 0.000 0.000 0.000
Cd 0.250 0.250 0.250
Cd 0.750 0.750 0.750



x:
Material: TiCd2Re
Method: DFT, PBE
State: relaxed

Spin magnetization   0.00 μB per cell
Space group   I-42d
DOS(E_F)   0.93 states/eV/atom

a b c (Å): 3.846 3.846 10.717
angles (deg): 79.66 79.66 90.00
Fractional positions:
Re 0.000 0.000 0.000
Re 0.750 0.250 0.500
Ti 0.500 0.500 0.000
Ti 0.250 0.750 0.500
Cd 0.631 0.125 0.250
Cd 0.119 0.625 0.250
Cd 0.375 0.369 0.750
Cd 0.875 0.881 0.750



Of them, x has the lowest stability.



w:
Material: TlCd2Re
Method: DFT, PBE
State: relaxed

Spin magnetization   1.41 μB per cell
Space group   P4/mmm
DOS(E_F)   0.62 states/eV/atom

a b c (Å): 4.468 4.225 4.225
angles (deg): 90.00 90.00 90.00
Each line ends with the local moment (μB).
Fractional positions:
Re 0.500 0.500 0.000  1.24
Tl 0.500 0.000 0.500  -0.01
Cd 0.000 0.000 0.000  -0.01
Cd 0.000 0.500 0.500  -0.01



x:
Material: TlCd2Re
Method: DFT, PBE
State: relaxed

Spin magnetization   0.08 μB per cell
Space group   Imm2
DOS(E_F)   0.59 states/eV/atom

a b c (Å): 5.484 5.484 5.484
angles (deg): 136.88 134.53 64.46
Each line ends with the local moment (μB).
Fractional positions:
Re 0.500 0.500 0.000  -0.08
Tl 0.253 0.753 0.500  0.00
Cd 0.000 0.000 0.000  0.00
Cd 0.747 0.247 0.500  0.00



Of them, w has the lowest stability.